YUNi4 | PBE | optimized geometry

It has space group F-43m (No. 216), with a = 7.141 Å, b = 7.141 Å, c = 7.141 Å, α = 90.00°, β = 90.00° and γ = 90.00°. The inequivalent atoms are Y at (0.000, 0.000, 0.000), U at (0.250, 0.250, 0.250) and Ni at (0.125, 0.125, 0.625).

The spin magnetization is 2.57 μB per formula unit.

---

YU2Ni9 | PBE | optimized geometry

It has space group R-3m (No. 166, hexagonal axes), with a = 4.8734 Å, b = 4.8734 Å, c = 24.5473 Å, α = 90.00°, β = 90.00° and γ = 120.00°. The inequivalent atoms are Y at (0.0000, 0.0000, 0.0000), U at (0.0000, 0.0000, 0.1419), Ni at (0.0000, 0.0000, 0.3330), Ni at (0.0000, 0.0000, 0.5000) and Ni at (0.9997, 0.4998, 0.0833).

The spin magnetization is 2.89 μB per formula unit.

---

UZn10Ni2 | PBE | optimized geometry

It has space group Cmcm (No. 63), with a = 8.823 Å, b = 10.267 Å, c = 8.660 Å, α = 90.00°, β = 90.00° and γ = 90.00°. The inequivalent atoms are U at (0.000, 0.124, 0.250), Zn at (0.000, 0.153, 0.600), Zn at (0.000, 0.375, 0.043), Zn at (0.152, 0.374, 0.750), Zn at (0.227, 0.000, 0.000), Zn at (0.227, 0.369, 0.250) and Ni at (0.250, 0.250, 0.000).

The spin magnetization is 2.72 μB per formula unit.

---

U2ZnNi9 | PBE | optimized geometry

It has space group P4/mmm (No. 123), with a = 3.807 Å, b = 3.807 Å, c = 10.923 Å, α = 90.00°, β = 90.00° and γ = 90.00°. The inequivalent atoms are U at (0.000, 0.000, 0.180), Zn at (0.000, 0.000, 0.500), Ni at (0.000, 0.500, 0.000), Ni at (0.000, 0.500, 0.344), Ni at (0.500, 0.500, 0.173) and Ni at (0.500, 0.500, 0.500).

The spin magnetization is 2.15 μB per formula unit. The calculation puts the excess energy over the best structure of this formula in the dataset at 0 meV per atom.

---

UZnNi2 | PBE | optimized geometry

It has space group P4/mmm (No. 123), with a = 2.962 Å, b = 2.962 Å, c = 6.567 Å, α = 90.00°, β = 90.00° and γ = 90.00°. The inequivalent atoms are U at (0.000, 0.000, 0.000), Zn at (0.000, 0.000, 0.500) and Ni at (0.500, 0.500, 0.281).

The spin magnetization is 0.03 μB per formula unit.

---

U2ZnNi9 | PBE | optimized geometry

It has space group R-3m (No. 166, hexagonal axes), with a = 4.7937 Å, b = 4.7937 Å, c = 24.3601 Å, α = 90.00°, β = 90.00° and γ = 120.00°. The inequivalent atoms are U at (0.0000, 0.0000, 0.1387), Zn at (0.0000, 0.0000, 0.0000), Ni at (0.0000, 0.0000, 0.3328), Ni at (0.0000, 0.0000, 0.5000) and Ni at (0.0008, 0.5004, 0.9172).

The spin magnetization is 3.04 μB per formula unit. The calculation puts the excess energy over the best structure of this formula in the dataset at 41 meV per atom.

---

UZnNi4 | PBE | optimized geometry

It has space group F-43m (No. 216), with a = 6.866 Å, b = 6.866 Å, c = 6.866 Å, α = 90.00°, β = 90.00° and γ = 90.00°. The inequivalent atoms are U at (0.000, 0.000, 0.000), Zn at (0.250, 0.250, 0.250) and Ni at (0.124, 0.124, 0.624).

The spin magnetization is 0.00 μB per formula unit.

---

UZnNi | PBE | optimized geometry

It has space group P2_1/m (No. 11), with a = 3.729 Å, b = 3.707 Å, c = 7.169 Å, α = 90.00°, β = 98.67° and γ = 90.00°. The inequivalent atoms are U at (0.160, 0.250, 0.115), Zn at (0.254, 0.750, 0.500) and Ni at (0.318, 0.250, 0.747).

The spin magnetization is 0.56 μB per formula unit.

---

Number 1: DFT formation energy -0.230 eV per atom. Number 2: DFT formation energy -0.308 eV per atom. Number 3: DFT formation energy -0.105 eV per atom. Number 4: DFT formation energy -0.174 eV per atom. Number 5: DFT formation energy -0.156 eV per atom. Number 6: DFT formation energy -0.133 eV per atom. Number 7: DFT formation energy -0.278 eV per atom. Number 8: DFT formation energy -0.092 eV per atom.